Entry from Alexandria: a geometry-optimized Re2Rh2Pb structure (GGA-PBE).

Cell lengths 7.922, 7.922, 2.772 Å; angles 90.00, 90.00, 90.00 degrees
Space group P4/mbm (No. 127)
Asymmetric unit:
Re 0.116 0.384 0.000
Rh 0.168 0.668 0.500
Pb 0.000 0.000 0.500

total magnetic moment: 0.00 μB per cell
V: 173.9 Å³ per cell
energy relative to the elements: 1.98 eV/f.u.

---

Entry from Alexandria: a geometry-optimized ReRhPb2 structure (GGA-PBE).

Cell lengths 3.138, 4.627, 11.640 Å; angles 90.00, 90.00, 90.00 degrees
Space group Imm2 (No. 44)
Asymmetric unit:
Re 0.000 0.000 0.000
Rh 0.000 0.500 0.685
Pb 0.000 0.000 0.499
Pb 0.000 0.500 0.272

total magnetic moment: 0.00 μB per cell
V: 169.0 Å³ per cell
energy relative to the elements: 2.65 eV/f.u.

---

Entry from Alexandria: a geometry-optimized ReRh2Pb2 structure (GGA-PBE).

Cell lengths 4.127, 4.127, 12.368 Å; angles 90.00, 90.00, 90.00 degrees
Space group I4/mmm (No. 139)
Asymmetric unit:
Re 0.000 0.000 0.000
Rh 0.000 0.000 0.401
Pb 0.000 0.500 0.250

total magnetic moment: 5.89 μB per cell
V: 210.7 Å³ per cell
energy relative to the elements: 5.77 eV/f.u.

---

Entry from Alexandria: a geometry-optimized ReRhPb2 structure (GGA-PBE).

Cell lengths 4.721, 4.721, 3.425 Å; angles 90.00, 90.00, 90.00 degrees
Space group P4/mmm (No. 123)
Asymmetric unit:
Re 0.000 0.000 0.000
Rh 0.500 0.500 0.000
Pb 0.000 0.500 0.500

total magnetic moment: 0.00 μB per cell
V: 76.3 Å³ per cell
energy relative to the elements: 2.61 eV/f.u.

---

Entry from Alexandria: a geometry-optimized ReRh2Pb structure (GGA-PBE).

Cell lengths 2.968, 2.968, 7.640 Å; angles 90.00, 90.00, 90.00 degrees
Space group P4mm (No. 99)
Asymmetric unit:
Re 0.000 0.000 0.000
Rh 0.000 0.000 0.458
Rh 0.500 0.500 0.205
Pb 0.500 0.500 0.710

total magnetic moment: 0.00 μB per cell
V: 67.3 Å³ per cell
energy relative to the elements: 1.68 eV/f.u.

---

Entry from Alexandria: a geometry-optimized ReRhPb2 structure (GGA-PBE).

Cell lengths 8.890, 3.206, 5.711 Å; angles 90.00, 103.15, 90.00 degrees
Space group C2/m (No. 12)
Asymmetric unit:
Re 0.000 0.000 0.000
Rh 0.000 0.500 0.500
Pb 0.248 0.000 0.749

total magnetic moment: 0.29 μB per cell
V: 158.5 Å³ per cell
energy relative to the elements: 3.08 eV/f.u.